The following is a DFT calculation (GGA-PBE) of a relaxed TmCoSiC crystal.

Properties
uncorrected formation energy	-0.53	eV per atom
crystal system	tetragonal

Unit cell a=3.634 b=3.634 c=8.504 alpha=90.00 beta=90.00 gamma=90.00
Space group P4/nmm (No. 129, origin choice 2)
Inequivalent atoms, fractional coordinates:
1 Tm 0.250 0.250 0.144 [2 per cell]
2 Co 0.250 0.750 0.500 [2 per cell]
3 Si 0.250 0.250 0.655 [2 per cell]
4 C 0.250 0.250 0.868 [2 per cell]

The following is a DFT calculation (GGA-PBE) of a relaxed TmCo2SiC crystal.

Properties
uncorrected formation energy	-0.61	eV per atom
crystal system	orthorhombic

Unit cell a=3.659 b=10.487 c=6.684 alpha=90.00 beta=90.00 gamma=90.00
Space group Cmcm (No. 63)
Inequivalent atoms, fractional coordinates:
1 Tm 0.000 0.050 0.250 [4 per cell]
2 Co 0.000 0.336 0.056 [8 per cell]
3 Si 0.000 0.229 0.750 [4 per cell]
4 C 0.000 0.500 0.000 [4 per cell]

The following is a DFT calculation (GGA-PBE) of a relaxed UCoSiC crystal.

Properties
uncorrected formation energy	-0.42	eV per atom
crystal system	tetragonal

Unit cell a=3.666 b=3.666 c=8.131 alpha=90.00 beta=90.00 gamma=90.00
Space group P4/nmm (No. 129, origin choice 2)
Inequivalent atoms, fractional coordinates:
1 U 0.250 0.250 0.164 [2 per cell]
2 Co 0.250 0.750 0.500 [2 per cell]
3 Si 0.250 0.250 0.654 [2 per cell]
4 C 0.250 0.250 0.884 [2 per cell]

The following is a DFT calculation (GGA-PBE) of a relaxed UCo2SiC crystal.

Properties
uncorrected formation energy	-0.42	eV per atom
crystal system	orthorhombic

Unit cell a=3.602 b=10.791 c=6.603 alpha=90.00 beta=90.00 gamma=90.00
Space group Cmcm (No. 63)
Inequivalent atoms, fractional coordinates:
1 U 0.000 0.050 0.250 [4 per cell]
2 Co 0.000 0.332 0.052 [8 per cell]
3 Si 0.000 0.224 0.750 [4 per cell]
4 C 0.000 0.500 0.000 [4 per cell]

The following is a DFT calculation (GGA-PBE) of a relaxed ZrCo2SiC crystal.

Properties
uncorrected formation energy	-0.57	eV per atom
crystal system	orthorhombic

Unit cell a=3.502 b=10.551 c=6.617 alpha=90.00 beta=90.00 gamma=90.00
Space group Cmcm (No. 63)
Inequivalent atoms, fractional coordinates:
1 Zr 0.000 0.036 0.250 [4 per cell]
2 Co 0.000 0.335 0.056 [8 per cell]
3 Si 0.000 0.235 0.750 [4 per cell]
4 C 0.000 0.500 0.000 [4 per cell]

The following is a DFT calculation (GGA-PBE) of a relaxed SmCo5C2 crystal.

Properties
calculated formation energy	5.3	kJ/mol of atoms
crystal system	orthorhombic

Unit cell a=3.515 b=6.019 c=8.191 alpha=90.00 beta=90.00 gamma=90.00
Space group Immm (No. 71)
Inequivalent atoms, fractional coordinates:
1 Sm 0.000 0.000 0.000 [2 per cell]
2 Co 0.000 0.195 0.339 [8 per cell]
3 Co 0.000 0.500 0.000 [2 per cell]
4 C 0.000 0.500 0.236 [4 per cell]

The following is a DFT calculation (GGA-PBE) of a relaxed Sm4Co2C crystal.

Properties
calculated formation energy	15.7	kJ/mol of atoms
crystal system	tetragonal

Unit cell a=5.231 b=5.231 c=12.458 alpha=90.00 beta=90.00 gamma=90.00
Space group I4/mmm (No. 139)
Inequivalent atoms, fractional coordinates:
1 Sm 0.000 0.000 0.194 [4 per cell]
2 Sm 0.000 0.500 0.000 [4 per cell]
3 Co 0.000 0.000 0.411 [4 per cell]
4 C 0.000 0.000 0.000 [2 per cell]

The following is a DFT calculation (GGA-PBE) of a relaxed Sm2CoC crystal.

Properties
polymorph energy (0 for the lowest one)	0	meV per atom
calculated formation energy	-19.2	kJ/mol of atoms
crystal system	monoclinic

Unit cell a=13.867 b=3.642 c=7.313 alpha=90.00 beta=105.23 gamma=90.00
Space group C2/c (No. 15)
Inequivalent atoms, fractional coordinates:
1 Sm 0.127 0.002 0.063 [8 per cell]
2 Co 0.000 0.500 0.250 [4 per cell]
3 C 0.000 0.000 0.250 [4 per cell]

The following is a DFT calculation (GGA-PBE) of a relaxed SmCoC2 crystal.

Properties
calculated formation energy	-29.3	kJ/mol of atoms
crystal system	tetragonal

Unit cell a=3.751 b=3.751 c=14.453 alpha=90.00 beta=90.00 gamma=90.00
Space group P4_1 (No. 76)
Inequivalent atoms, fractional coordinates:
1 Sm 0.137 0.140 0.000 [4 per cell]
2 Co 0.356 0.366 0.596 [4 per cell]
3 C 0.141 0.638 0.137 [4 per cell]
4 C 0.353 0.360 0.463 [4 per cell]

The following is a DFT calculation (GGA-PBE) of a relaxed SmCoC2 crystal.

Properties
calculated formation energy	-27.8	kJ/mol of atoms
crystal system	orthorhombic

Unit cell a=3.727 b=4.531 c=6.042 alpha=90.00 beta=90.00 gamma=90.00
Space group Amm2 (No. 38)
Inequivalent atoms, fractional coordinates:
1 Sm 0.000 0.000 0.000 [2 per cell]
2 Co 0.500 0.000 0.617 [2 per cell]
3 C 0.500 0.152 0.306 [4 per cell]

The following is a DFT calculation (GGA-PBE) of a relaxed Sm2CoC crystal.

Properties
polymorph energy (0 for the lowest one)	665	meV per atom
calculated formation energy	45.0	kJ/mol of atoms
crystal system	trigonal

Unit cell a=3.5774 b=3.5774 c=24.0361 alpha=90.00 beta=90.00 gamma=120.00
Space group R-3m (No. 166, hexagonal axes)
Inequivalent atoms, fractional coordinates:
1 Sm 0.0000 0.0000 0.1081 [6 per cell]
2 Co 0.0000 0.0000 0.0000 [3 per cell]
3 C 0.0000 0.0000 0.5000 [3 per cell]

The following is a DFT calculation (GGA-PBE) of a relaxed SmCo2C crystal.

Properties
calculated formation energy	9.9	kJ/mol of atoms
crystal system	orthorhombic

Unit cell a=3.161 b=10.299 c=6.631 alpha=90.00 beta=90.00 gamma=90.00
Space group Cmcm (No. 63)
Inequivalent atoms, fractional coordinates:
1 Sm 0.000 0.053 0.250 [4 per cell]
2 Co 0.000 0.320 0.079 [8 per cell]
3 C 0.000 0.213 0.750 [4 per cell]

The following is a DFT calculation (GGA-PBE) of a relaxed Sm2Co3C2 crystal.

Properties
calculated formation energy	8.5	kJ/mol of atoms
crystal system	monoclinic

Unit cell a=9.679 b=3.430 c=6.391 alpha=90.00 beta=115.12 gamma=90.00
Space group C2/m (No. 12)
Inequivalent atoms, fractional coordinates:
1 Sm 0.121 0.000 0.283 [4 per cell]
2 Co 0.000 0.500 0.500 [2 per cell]
3 Co 0.161 0.500 0.906 [4 per cell]
4 C 0.172 0.000 0.767 [4 per cell]